BaTl2GaCo: optimized geometry, PBE-GGA.

Cell: 5.168 5.168 4.806 Å, 90.00 90.00 90.00°
Positions (direct):
Ba  0.000  0.000  0.000
Tl  0.000  0.500  0.500
Tl  0.500  0.000  0.500
Ga  0.500  0.500  0.000
Co  0.500  0.500  0.500

Results
- Energy of formation: -0.13 eV per atom



AcAlCuAu: optimized geometry, PBE-GGA.

Cell: 5.041 5.041 5.041 Å, 60.00 60.00 60.00°
Positions (direct):
Ac  0.000  0.000  0.000
Al  0.500  0.500  0.500
Cu  0.250  0.250  0.250
Au  0.750  0.750  0.750

Results
- Energy of formation: -0.30 eV per atom



Tl7SiSe6: optimized geometry, PBE-GGA.

Cell: 11.724 11.724 11.724 Å, 140.93 108.21 84.90°
Positions (direct):
Tl  0.019  0.263  0.283
Tl  0.080  0.573  0.890
Tl  0.183  0.073  0.493
Tl  0.250  0.250  0.000
Tl  0.317  0.810  0.890
Tl  0.420  0.310  0.493
Tl  0.481  0.763  0.244
Tl  0.519  0.237  0.756
Tl  0.580  0.690  0.507
Tl  0.683  0.190  0.110
Tl  0.750  0.750  0.000
Tl  0.817  0.927  0.507
Tl  0.920  0.427  0.110
Tl  0.981  0.737  0.717
Si  0.250  0.750  0.500
Si  0.750  0.250  0.500
Se  0.078  0.846  0.577
Se  0.174  0.001  0.175
Se  0.232  0.654  0.233
Se  0.268  0.501  0.423
Se  0.326  0.501  0.827
Se  0.422  0.999  0.767
Se  0.578  0.001  0.233
Se  0.674  0.499  0.173
Se  0.732  0.499  0.577
Se  0.768  0.346  0.767
Se  0.826  0.999  0.825
Se  0.922  0.154  0.423

Results
- Formation energy from raw total energies: -0.37 eV/atom



ZnHgP2O: optimized geometry, PBE-GGA.

Cell: 5.104 5.104 4.056 Å, 90.00 90.00 90.00°
Positions (direct):
Zn  0.000  0.000  0.000
Hg  0.500  0.500  0.500
P  0.000  0.500  0.500
P  0.500  0.000  0.500
O  0.500  0.500  0.000

Results
- ΔE to the lowest computed polymorph: 3.54 eV/f.u.
- Formation energy from raw total energies: 1.09 eV/atom